1.
Density functional theory data (PBEsol) for a relaxed structure of MnAlZn2.

- Space-group type: No. 160
- Total magnetization: 1.8 μB/f.u.
- ΔH_f (0 K): 1.18 kcal/mol of atoms
- V: 13.47 Å³ per atom

a = 8.7071 Å, b = 8.7071 Å, c = 8.7071 Å
α = 17.81°, β = 17.81°, γ = 17.81°
Element x y z (fractional)
Mn1 0.0000 0.0000 0.0000
Al1 0.7439 0.7439 0.7439
Zn1 0.2534 0.2534 0.2534
Zn2 0.4998 0.4998 0.4998

2.
Density functional theory data (PBEsol) for a relaxed structure of Mn2AlZn.

- Space-group type: No. 123
- Total magnetization: 5.0 μB/f.u.
- ΔH_f (0 K): -0.72 kcal/mol of atoms
- V: 12.71 Å³ per atom

a = 2.7168 Å, b = 2.7168 Å, c = 6.8854 Å
α = 90.00°, β = 90.00°, γ = 90.00°
Element x y z (fractional)
Mn1 0.0000 0.0000 0.2501
Mn2 0.0000 0.0000 0.7499
Al1 0.5000 0.5000 0.0000
Zn1 0.5000 0.5000 0.5000

3.
Density functional theory data (PBEsol) for a relaxed structure of Mn3AlZn.

- Space-group type: No. 221
- Total magnetization: 10.1 μB/f.u.
- ΔH_f (0 K): 24.08 kcal/mol of atoms
- V: 17.44 Å³ per atom

a = 4.4344 Å, b = 4.4344 Å, c = 4.4344 Å
α = 90.00°, β = 90.00°, γ = 90.00°
Element x y z (fractional)
Mn1 0.0000 0.0000 0.5000
Mn2 0.0000 0.5000 0.0000
Mn3 0.5000 0.0000 0.0000
Al1 0.5000 0.5000 0.5000
Zn1 0.0000 0.0000 0.0000

4.
Density functional theory data (PBEsol) for a relaxed structure of Mn2AlZn.

- Space-group type: No. 25
- Total magnetization: 4.6 μB/f.u.
- ΔH_f (0 K): -0.12 kcal/mol of atoms
- V: 12.47 Å³ per atom

a = 2.8947 Å, b = 4.1509 Å, c = 4.1506 Å
α = 90.00°, β = 90.00°, γ = 90.00°
Element x y z (fractional)
Mn1 0.0000 0.0000 0.0000
Mn2 0.0000 0.5000 0.4980
Al1 0.5000 0.0000 0.4998
Zn1 0.5000 0.5000 0.9980

5.
Density functional theory data (PBEsol) for a relaxed structure of Mn2AlZn.

- Space-group type: No. 139
- Total magnetization: 5.1 μB/f.u.
- ΔH_f (0 K): -0.88 kcal/mol of atoms
- V: 12.73 Å³ per atom

a = 4.4382 Å, b = 4.4382 Å, c = 4.4382 Å
α = 129.36°, β = 129.36°, γ = 74.43°
Element x y z (fractional)
Mn1 0.2500 0.7500 0.5000
Mn2 0.7500 0.2500 0.5000
Al1 0.0000 0.0000 0.0000
Zn1 0.5000 0.5000 0.0000

6.
Density functional theory data (PBEsol) for a relaxed structure of Mn2AlZn.

- Space-group type: No. 65
- Total magnetization: 5.1 μB/f.u.
- ΔH_f (0 K): -0.78 kcal/mol of atoms
- V: 12.74 Å³ per atom

a = 4.4161 Å, b = 4.4161 Å, c = 2.7056 Å
α = 90.00°, β = 90.00°, γ = 105.03°
Element x y z (fractional)
Mn1 0.0000 0.5000 0.0000
Mn2 0.5000 0.0000 0.0000
Al1 0.0000 0.0000 0.5000
Zn1 0.5000 0.5000 0.5000

7.
Density functional theory data (PBEsol) for a relaxed structure of MnAlZn2.

- Space-group type: No. 99
- Total magnetization: 2.4 μB/f.u.
- ΔH_f (0 K): -0.39 kcal/mol of atoms
- V: 13.53 Å³ per atom

a = 2.7640 Å, b = 2.7640 Å, c = 7.0841 Å
α = 90.00°, β = 90.00°, γ = 90.00°
Element x y z (fractional)
Mn1 0.0000 0.0000 0.0000
Al1 0.5000 0.5000 0.7696
Zn1 0.0000 0.0000 0.4932
Zn2 0.5000 0.5000 0.2382

8.
Density functional theory data (PBEsol) for a relaxed structure of Mn2AlZn.

- Space-group type: No. 47
- Total magnetization: 5.1 μB/f.u.
- ΔH_f (0 K): -0.83 kcal/mol of atoms
- V: 12.73 Å³ per atom

a = 2.7113 Å, b = 3.4917 Å, c = 5.3768 Å
α = 90.00°, β = 90.00°, γ = 90.00°
Element x y z (fractional)
Mn1 0.0000 0.0000 0.2502
Mn2 0.0000 0.0000 0.7498
Al1 0.5000 0.5000 0.0000
Zn1 0.5000 0.5000 0.5000

9.
Density functional theory data (PBEsol) for a relaxed structure of MnAlZn2.

- Space-group type: No. 119
- Total magnetization: 1.8 μB/f.u.
- ΔH_f (0 K): -0.23 kcal/mol of atoms
- V: 13.23 Å³ per atom

a = 4.7313 Å, b = 4.7313 Å, c = 4.7313 Å
α = 134.56°, β = 134.56°, γ = 66.21°
Element x y z (fractional)
Mn1 0.0000 0.0000 0.0000
Al1 0.7500 0.2500 0.5000
Zn1 0.2500 0.7500 0.5000
Zn2 0.5000 0.5000 0.0000

10.
Density functional theory data (PBEsol) for a relaxed structure of MnAlZn2.

- Space-group type: No. 123
- Total magnetization: 2.4 μB/f.u.
- ΔH_f (0 K): -2.12 kcal/mol of atoms
- V: 13.21 Å³ per atom

a = 3.7149 Å, b = 3.7149 Å, c = 3.8280 Å
α = 90.00°, β = 90.00°, γ = 90.00°
Element x y z (fractional)
Mn1 0.0000 0.0000 0.0000
Al1 0.5000 0.5000 0.0000
Zn1 0.0000 0.5000 0.5000
Zn2 0.5000 0.0000 0.5000

11.
Density functional theory data (PBEsol) for a relaxed structure of Zr3Mn8Al.

- Space-group type: No. 156
- Total magnetization: 0.9 μB/f.u.
- ΔH_f (0 K): -4.58 kcal/mol of atoms
- V: 13.20 Å³ per atom

a = 4.7957 Å, b = 4.7957 Å, c = 7.9556 Å
α = 90.00°, β = 90.00°, γ = 120.00°
Element x y z (fractional)
Zr1 0.0000 0.0000 0.0000
Zr2 0.0000 0.0000 0.3791
Zr3 0.6667 0.3333 0.5162
Mn1 0.1634 0.3269 0.6975
Mn2 0.1634 0.8366 0.6975
Mn3 0.3333 0.6667 0.4355
Mn4 0.3333 0.6667 0.9436
Mn5 0.5063 0.0127 0.1879
Mn6 0.5063 0.4937 0.1879
Mn7 0.6731 0.8366 0.6975
Mn8 0.9873 0.4937 0.1879
Al1 0.6667 0.3333 0.8798

12.
Density functional theory data (PBEsol) for a relaxed structure of Zr2MnAl.

- Space-group type: No. 123
- Total magnetization: 0.0 μB/f.u.
- ΔH_f (0 K): -5.86 kcal/mol of atoms
- V: 17.14 Å³ per atom

a = 3.2130 Å, b = 3.2130 Å, c = 6.6414 Å
α = 90.00°, β = 90.00°, γ = 90.00°
Element x y z (fractional)
Zr1 0.0000 0.0000 0.2267
Zr2 0.0000 0.0000 0.7733
Mn1 0.5000 0.5000 0.0000
Al1 0.5000 0.5000 0.5000